Compound: Ba2FeRe
Source: the Alexandria database
Functional: PBE-GGA
Structure: optimized geometry

The structure in POSCAR format:
```
Ba2FeRe
1.0
3.429 0.016 0.000
-0.017 3.429 0.000
0.000 0.000 9.769
Ba Fe Re
2 1 1
Direct
0.000 0.000 0.915
0.500 0.500 0.335
0.000 0.000 0.606
0.500 0.500 0.644
```

Results
Offset from the most stable computed form = 293 meV per atom
Uncorrected energy = -21.85 eV per cell
Magnetic moment = 0.43 μB per formula unit
Energy of formation = 2.90 eV/f.u.
Space-group type = No. 99

Compound: Er4Tm5Zr
Source: the Alexandria database
Functional: PBE-GGA
Structure: optimized geometry

The structure in POSCAR format:
```
Er4Tm5Zr
1.0
5.762 0.000 0.000
2.881 7.306 0.000
2.881 0.000 7.306
Er Tm Zr
4 5 1
Direct
0.440 0.321 0.679
0.762 0.679 0.679
0.119 0.321 0.321
0.440 0.679 0.321
0.781 0.370 0.000
0.151 0.000 0.630
0.781 0.000 0.370
0.151 0.630 0.000
0.675 0.000 0.000
0.210 0.000 0.000
```

Results
Offset from the most stable computed form = 210 meV per atom
Uncorrected energy = -46.61 eV per cell
Magnetic moment = 0.00 μB per formula unit
Energy of formation = 2.55 eV/f.u.
Space-group type = No. 107

Compound: Ca3UTl2F12
Source: the Alexandria database
Functional: PBE-GGA
Structure: optimized geometry

The structure in POSCAR format:
```
Ca3UTl2F12
1.0
8.562 0.331 0.235
4.516 7.282 0.235
4.516 2.629 6.795
Ca U Tl F
3 1 2 12
Direct
0.500 0.000 0.000
0.000 0.500 0.000
0.000 0.000 0.500
0.000 0.000 0.000
0.577 0.577 0.577
0.423 0.423 0.423
0.335 0.335 0.905
0.939 0.939 0.309
0.309 0.939 0.939
0.905 0.335 0.335
0.939 0.309 0.939
0.335 0.905 0.335
0.665 0.665 0.095
0.061 0.061 0.691
0.691 0.061 0.061
0.095 0.665 0.665
0.061 0.691 0.061
0.665 0.095 0.665
```

Results
Uncorrected energy = -103.97 eV per cell
Magnetic moment = 2.01 μB per formula unit
ΔE_f (raw) = -3.30 eV per atom
Space-group type = No. 166